First-principles (PBE) data for Ca3SnBi after structural relaxation, as listed in Alexandria via LeMat-Bulk.

## Properties
E_form = -273 meV/atom
V = 41.11 Å³/atom

```
data_Ca3SnBi
_chemical_formula_sum 'Ca3 Sn1 Bi1'
_cell_length_a 5.9018
_cell_length_b 5.9018
_cell_length_c 5.9018
_cell_angle_alpha 90.00
_cell_angle_beta 90.00
_cell_angle_gamma 90.00
_symmetry_space_group_name_H-M 'P m -3 m'
_symmetry_Int_Tables_number 221
_symmetry_space_group_name_Hall '-P 4 2 3'
loop_
_atom_site_label
_atom_site_type_symbol
_atom_site_fract_x
_atom_site_fract_y
_atom_site_fract_z
Ca1 Ca 0.0000 0.0000 0.5000
Sn1 Sn 0.5000 0.5000 0.5000
Bi1 Bi 0.0000 0.0000 0.0000
```

=====

First-principles (PBE) data for Ca3SnBi after structural relaxation, as listed in Alexandria via LeMat-Bulk.

## Properties
E_form = -326 meV/atom
V = 39.86 Å³/atom

```
data_Ca3SnBi
_chemical_formula_sum 'Ca3 Sn1 Bi1'
_cell_length_a 5.8410
_cell_length_b 5.8410
_cell_length_c 5.8410
_cell_angle_alpha 90.00
_cell_angle_beta 90.00
_cell_angle_gamma 90.00
_symmetry_space_group_name_H-M 'P m -3 m'
_symmetry_Int_Tables_number 221
_symmetry_space_group_name_Hall '-P 4 2 3'
loop_
_atom_site_label
_atom_site_type_symbol
_atom_site_fract_x
_atom_site_fract_y
_atom_site_fract_z
Ca1 Ca 0.0000 0.0000 0.5000
Sn1 Sn 0.0000 0.0000 0.0000
Bi1 Bi 0.5000 0.5000 0.5000
```

=====

First-principles (PBE) data for Ca4SnBi2 after structural relaxation, as listed in Alexandria via LeMat-Bulk.

## Properties
E_form = -410 meV/atom
V = 38.72 Å³/atom

```
data_Ca4SnBi2
_chemical_formula_sum 'Ca8 Sn2 Bi4'
_cell_length_a 5.7024
_cell_length_b 5.7024
_cell_length_c 16.6713
_cell_angle_alpha 90.00
_cell_angle_beta 90.00
_cell_angle_gamma 90.00
_symmetry_space_group_name_H-M 'I 4/m m m'
_symmetry_Int_Tables_number 139
_symmetry_space_group_name_Hall '-I 4 2'
loop_
_atom_site_label
_atom_site_type_symbol
_atom_site_fract_x
_atom_site_fract_y
_atom_site_fract_z
Ca1 Ca 0.0000 0.0000 0.1833
Ca2 Ca 0.0000 0.5000 0.0000
Sn1 Sn 0.0000 0.0000 0.0000
Bi1 Bi 0.0000 0.0000 0.3730
```

=====

First-principles (PBE) data for Ca2SnBi3 after structural relaxation, as listed in Alexandria via LeMat-Bulk.

## Properties
E_form = -434 meV/atom
V = 34.87 Å³/atom

```
data_Ca2SnBi3
_chemical_formula_sum 'Ca8 Sn4 Bi12'
_cell_length_a 9.1635
_cell_length_b 9.8808
_cell_length_c 9.2431
_cell_angle_alpha 90.00
_cell_angle_beta 90.00
_cell_angle_gamma 90.00
_symmetry_space_group_name_H-M 'C m c m'
_symmetry_Int_Tables_number 63
_symmetry_space_group_name_Hall '-C 2c 2'
loop_
_atom_site_label
_atom_site_type_symbol
_atom_site_fract_x
_atom_site_fract_y
_atom_site_fract_z
Ca1 Ca 0.2503 0.2502 0.2500
Sn1 Sn 0.0000 0.0008 0.2500
Bi1 Bi 0.0000 0.4999 0.2500
Bi2 Bi 0.2402 0.0000 0.0000
```

=====

First-principles (PBE) data for CaSnBi2 after structural relaxation, as listed in Alexandria via LeMat-Bulk.

## Properties
E_form = 119 meV/atom
V = 36.23 Å³/atom

```
data_CaSnBi2
_chemical_formula_sum 'Ca3 Sn3 Bi6'
_cell_length_a 3.9413
_cell_length_b 3.9413
_cell_length_c 32.3180
_cell_angle_alpha 90.00
_cell_angle_beta 90.00
_cell_angle_gamma 120.00
_symmetry_space_group_name_H-M 'R -3 m'
_symmetry_Int_Tables_number 166
_symmetry_space_group_name_Hall '-R 3 2"'
loop_
_atom_site_label
_atom_site_type_symbol
_atom_site_fract_x
_atom_site_fract_y
_atom_site_fract_z
Ca1 Ca 0.0000 0.0000 0.0000
Sn1 Sn 0.0000 0.0000 0.5000
Bi1 Bi 0.0000 0.0000 0.0996
```

=====

First-principles (PBE) data for CaSnBi after structural relaxation, as listed in Alexandria via LeMat-Bulk.

## Properties
E_form = -254 meV/atom
V = 34.95 Å³/atom

```
data_CaSnBi
_chemical_formula_sum 'Ca16 Sn16 Bi16'
_cell_length_a 8.5823
_cell_length_b 12.2063
_cell_length_c 16.0151
_cell_angle_alpha 90.00
_cell_angle_beta 90.00
_cell_angle_gamma 90.00
_symmetry_space_group_name_H-M 'F d d d'
_symmetry_Int_Tables_number 70
loop_
_symmetry_equiv_pos_as_xyz
'x,y,z'
'-x,-y,-z'
'-x+1/4,-y+1/4,z'
'x+1/4,y+1/4,-z'
'x,-y+1/4,-z+1/4'
'-x,y+1/4,z+1/4'
'-x+1/4,y,-z+1/4'
'x+1/4,-y,z+1/4'
'x,y+1/2,z+1/2'
'-x,-y+1/2,-z+1/2'
'-x+1/4,-y+3/4,z+1/2'
'x+1/4,y+3/4,-z+1/2'
'x,-y+3/4,-z+3/4'
'-x,y+3/4,z+3/4'
'-x+1/4,y+1/2,-z+3/4'
'x+1/4,-y+1/2,z+3/4'
'x+1/2,y,z+1/2'
'-x+1/2,-y,-z+1/2'
'-x+3/4,-y+1/4,z+1/2'
'x+3/4,y+1/4,-z+1/2'
'x+1/2,-y+1/4,-z+3/4'
'-x+1/2,y+1/4,z+3/4'
'-x+3/4,y,-z+3/4'
'x+3/4,-y,z+3/4'
'x+1/2,y+1/2,z'
'-x+1/2,-y+1/2,-z'
'-x+3/4,-y+3/4,z'
'x+3/4,y+3/4,-z'
'x+1/2,-y+3/4,-z+1/4'
'-x+1/2,y+3/4,z+1/4'
'-x+3/4,y+1/2,-z+1/4'
'x+3/4,-y+1/2,z+1/4'
loop_
_atom_site_label
_atom_site_type_symbol
_atom_site_fract_x
_atom_site_fract_y
_atom_site_fract_z
Ca1 Ca 0.1250 0.1250 0.3198
Sn1 Sn 0.0000 0.0000 0.5000
Bi1 Bi 0.0512 0.3750 0.3750
```

=====

First-principles (PBE) data for CaSnBi2 after structural relaxation, as listed in Alexandria via LeMat-Bulk.

## Properties
E_form = -320 meV/atom
V = 30.77 Å³/atom

```
data_CaSnBi2
_chemical_formula_sum 'Ca1 Sn1 Bi2'
_cell_length_a 4.2999
_cell_length_b 4.2999
_cell_length_c 6.6569
_cell_angle_alpha 90.00
_cell_angle_beta 90.00
_cell_angle_gamma 90.00
_symmetry_space_group_name_H-M 'P 4/m m m'
_symmetry_Int_Tables_number 123
_symmetry_space_group_name_Hall '-P 4 2'
loop_
_atom_site_label
_atom_site_type_symbol
_atom_site_fract_x
_atom_site_fract_y
_atom_site_fract_z
Ca1 Ca 0.0000 0.0000 0.0000
Sn1 Sn 0.0000 0.0000 0.5000
Bi1 Bi 0.5000 0.5000 0.2447
```

=====

First-principles (PBE) data for Ca4SnBi2 after structural relaxation, as listed in Alexandria via LeMat-Bulk.

## Properties
E_form = -706 meV/atom
V = 33.71 Å³/atom

```
data_Ca4SnBi2
_chemical_formula_sum 'Ca8 Sn2 Bi4'
_cell_length_a 12.2566
_cell_length_b 4.9613
_cell_length_c 9.1234
_cell_angle_alpha 90.00
_cell_angle_beta 121.71
_cell_angle_gamma 90.00
_symmetry_space_group_name_H-M 'C 1 2/m 1'
_symmetry_Int_Tables_number 12
loop_
_symmetry_equiv_pos_as_xyz
'x,y,z'
'-x,-y,-z'
'-x,y,-z'
'x,-y,z'
'x+1/2,y+1/2,z'
'-x+1/2,-y+1/2,-z'
'-x+1/2,y+1/2,-z'
'x+1/2,-y+1/2,z'
loop_
_atom_site_label
_atom_site_type_symbol
_atom_site_fract_x
_atom_site_fract_y
_atom_site_fract_z
Ca1 Ca 0.0815 0.0000 0.3843
Ca2 Ca 0.1733 0.5000 0.0593
Sn1 Sn 0.0000 0.0000 0.0000
Bi1 Bi 0.1661 0.5000 0.6764
```